# Ac2BiMoO8

A relaxed structure of Ac2BiMoO8 (PBE+U, Alexandria via LeMat-Bulk).

It has space group P-1 (No. 2), with a = 5.3076 Å, b = 5.3098 Å, c = 7.1215 Å, α = 90.70°, β = 90.75° and γ = 91.88°. The inequivalent atoms are Ac at (0.0337, 0.0332, 0.2587), Bi at (0.5000, 0.5000, 0.0000), Mo at (0.5000, 0.5000, 0.5000), O at (0.2069, 0.2055, 0.9767), O at (0.2429, 0.2412, 0.5292), O at (0.3050, 0.6481, 0.2886) and O at (0.3503, 0.6938, 0.7110).

As for the total energy: -84.15 eV/cell.